Record 1
Compound: Bi2RhPbN
Source: Alexandria via LeMat-Bulk
Functional: PBEsol
Structure: optimized geometry

Calculated values
Raw formation energy (eV per atom): 0.2971
Electronic total energy (eV per atom): -5.5499
Magnetic moment (μB/atom): 0.00

Unit cell a=3.739 b=5.430 c=5.430 alpha=90.00 beta=90.00 gamma=90.00
Fractional positions:
Bi  0.000  0.000  0.500
Rh  0.500  0.000  0.000
Bi  0.000  0.500  0.000
Pb  0.500  0.500  0.500
N  0.000  0.000  0.000



Record 2
Compound: BiPdN3
Source: Alexandria via LeMat-Bulk
Functional: PBEsol
Structure: optimized geometry

Calculated values
Raw formation energy (eV per atom): 2.3207
Electronic total energy (eV per atom): -4.8441
Magnetic moment (μB/atom): 0.85

Unit cell a=4.277 b=4.277 c=4.277 alpha=90.00 beta=90.00 gamma=90.00
Fractional positions:
N  0.500  0.000  0.000
Bi  0.000  0.000  0.000
Pd  0.500  0.500  0.500
N  0.000  0.000  0.500
N  0.000  0.500  0.000



Record 3
Compound: BiPdN2
Source: Alexandria via LeMat-Bulk
Functional: PBEsol
Structure: optimized geometry

Calculated values
Raw formation energy (eV per atom): 0.8102
Electronic total energy (eV per atom): -6.0141
Magnetic moment (μB/atom): 0.00

Unit cell a=3.389 b=3.389 c=6.577 alpha=75.07 beta=75.07 gamma=60.00
Fractional positions:
Bi  0.500  0.500  0.500
Pd  0.000  0.000  0.000
N  0.102  0.102  0.693
N  0.898  0.898  0.307



Record 4
Compound: RbBiPdN2
Source: Alexandria via LeMat-Bulk
Functional: PBEsol
Structure: optimized geometry

Calculated values
Raw formation energy (eV per atom): 2.3726
Electronic total energy (eV per atom): -3.2920
Magnetic moment (μB/atom): 0.35

Unit cell a=4.480 b=4.480 c=5.124 alpha=90.00 beta=90.00 gamma=90.00
Fractional positions:
N  0.500  0.000  0.000
N  0.000  0.500  0.000
Rb  0.000  0.000  0.000
Pd  0.000  0.000  0.500
Bi  0.500  0.500  0.500



Record 5
Compound: BiPdSN2
Source: Alexandria via LeMat-Bulk
Functional: PBEsol
Structure: optimized geometry

Calculated values
Raw formation energy (eV per atom): 1.0433
Electronic total energy (eV per atom): -5.2930
Magnetic moment (μB/atom): 0.41

Unit cell a=4.006 b=4.006 c=4.786 alpha=90.00 beta=90.00 gamma=90.00
Fractional positions:
S  0.000  0.000  0.500
Bi  0.500  0.500  0.500
N  0.000  0.500  0.000
Pd  0.000  0.000  0.000
N  0.500  0.000  0.000



Record 6
Compound: Pr2BiN
Source: Alexandria via LeMat-Bulk
Functional: PBEsol
Structure: optimized geometry

Calculated values
Raw formation energy (eV per atom): -1.2106
Electronic total energy (eV per atom): -7.0058
Magnetic moment (μB/atom): 0.00

Unit cell a=4.717 b=4.717 c=9.341 alpha=90.00 beta=90.00 gamma=90.00
Fractional positions:
Bi  0.000  0.500  0.304
N  0.000  0.500  0.917
Pr  0.500  0.500  0.000
Bi  0.500  0.000  0.696
Pr  0.500  0.000  0.327
N  0.500  0.000  0.083
Pr  0.000  0.000  0.000
Pr  0.000  0.500  0.673